CaHgSe2 | the Alexandria database | PBE | relaxed; V = 26.228 A^3/atom; total magnetization = 0.00 Bohr magnetons per cell; formation energy from raw total energies = -0.804 eV per atom; space-group type = No. 47; theoretical density = 6.31 g cm⁻³
1.0
-1.6339 -1.1600 -6.1221
0.3637 -4.1493 0.6892
-3.7168 -0.1561 1.0215
Ca Se Hg
1 2 1
Cartesian
-2.6753 -0.6581 -2.5503
-0.6351 -2.6546 -2.7165
0.0000 0.0000 0.0000
-1.6765 -2.1527 0.8553